(1)
The following is a DFT calculation (PBE) of a relaxed GdEr2Pb crystal.

Values from the calculation:
Relative energy among the computed polymorphs in eV per atom: 0.0000
Volume in Å³ per cell: 113.9
Energy relative to the elements in eV per atom: -0.28
Magnetization in μB/f.u.: 7.77

Cell lengths 4.872, 4.872, 4.796 Å; angles 90.00, 90.00, 90.00 degrees
Fractional coordinates of all 4 atoms:
Gd 0.000 0.000 0.000
Er 0.000 0.500 0.500
Er 0.500 0.000 0.500
Pb 0.500 0.500 0.000

***

(2)
The following is a DFT calculation (PBE) of a relaxed GdErPb crystal.

Values from the calculation:
Relative energy among the computed polymorphs in eV per atom: 0.0000
Volume in Å³ per cell: 87.4
Energy relative to the elements in eV per atom: -0.31
Magnetization in μB/f.u.: 8.75

Cell lengths 6.079, 6.079, 6.079 Å; angles 141.24, 141.24, 55.97 degrees
Fractional coordinates of all 3 atoms:
Gd 0.000 0.000 0.000
Er 0.315 0.315 0.000
Pb 0.663 0.663 0.000